Here is an optimized crystal structure of K3Sm3NpSe8 from the Alexandria database. Energies are from PBE.

Output
The final energy is -5.50 eV/atom. The calculation puts the calculated density at 4.87 g/cm3. The uncorrected formation energy is -1.619 eV per atom.

a b c (Å): 8.5175 8.5175 23.4151
angles (deg): 90.00 90.00 120.00
With the nearest neighbours (Å) after each atom.
Space group R-3m (No. 166, hexagonal axes)
Asymmetric unit:
K1 0.0000 0.5000 0.0000  6 Se 3.35-3.37
Sm1 0.0000 0.5000 0.5000  6 Se 2.95
Np1 0.0000 0.0000 0.5000  6 Se 2.86
Se1 0.0000 0.0000 0.2361  3 Sm 2.95
Se2 0.0094 0.5047 0.2337  1 Np 2.86, 2 Sm 2.95